(1)
# Rb5Pu2O6, optimized geometry, DFT PBE-GGA
# ρ (g cm⁻³): 4.8
# Formation energy from raw total energies (eV/atom): -1.89
data_Rb5Pu2O6
_symmetry_space_group_name_H-M 'C 1 2/c 1'
_symmetry_Int_Tables_number 15
_cell_length_a 12.209
_cell_length_b 7.809
_cell_length_c 14.959
_cell_angle_alpha 90.00
_cell_angle_beta 103.26
_cell_angle_gamma 90.00
loop_
_symmetry_equiv_pos_as_xyz
'x,y,z'
'-x,-y,-z'
'-x,y,-z+1/2'
'x,-y,z+1/2'
'x+1/2,y+1/2,z'
'-x+1/2,-y+1/2,-z'
'-x+1/2,y+1/2,-z+1/2'
'x+1/2,-y+1/2,z+1/2'
loop_
_atom_site_label
_atom_site_type_symbol
_atom_site_fract_x
_atom_site_fract_y
_atom_site_fract_z
Rb1 Rb 0.000 0.132 0.250
Rb2 Rb 0.023 0.239 0.010
Rb3 Rb 0.149 0.371 0.715
Pu1 Pu 0.229 0.432 0.438
O1 O 0.064 0.498 0.884
O2 O 0.147 0.025 0.633
O3 O 0.208 0.162 0.417



(2)
# Rb2Pu3O10, optimized geometry, DFT PBE-GGA
# ρ (g cm⁻³): 6.7
# Formation energy from raw total energies (eV/atom): -2.42
data_Rb2Pu3O10
_symmetry_space_group_name_H-M 'C 1 2/m 1'
_symmetry_Int_Tables_number 12
_cell_length_a 19.743
_cell_length_b 6.766
_cell_length_c 8.504
_cell_angle_alpha 90.00
_cell_angle_beta 112.65
_cell_angle_gamma 90.00
loop_
_symmetry_equiv_pos_as_xyz
'x,y,z'
'-x,-y,-z'
'-x,y,-z'
'x,-y,z'
'x+1/2,y+1/2,z'
'-x+1/2,-y+1/2,-z'
'-x+1/2,y+1/2,-z'
'x+1/2,-y+1/2,z'
loop_
_atom_site_label
_atom_site_type_symbol
_atom_site_fract_x
_atom_site_fract_y
_atom_site_fract_z
Rb1 Rb 0.109 0.000 0.220
Rb2 Rb 0.203 0.000 0.814
Pu1 Pu 0.000 0.248 0.500
Pu2 Pu 0.079 0.500 0.972
Pu3 Pu 0.183 0.500 0.508
O1 O 0.000 0.312 0.000
O2 O 0.022 0.000 0.663
O3 O 0.024 0.500 0.678
O4 O 0.101 0.255 0.514
O5 O 0.137 0.500 0.266
O6 O 0.141 0.291 0.972
O7 O 0.226 0.500 0.741
O8 O 0.250 0.250 0.500



(3)
# RbPuO4, optimized geometry, DFT PBE-GGA
# ρ (g cm⁻³): 7.2
# Energy relative to the lowest polymorph listed for this composition (meV per atom): 374
# Formation energy from raw total energies (eV/atom): -1.90
data_RbPuO4
_symmetry_space_group_name_H-M 'P 4/m m m'
_symmetry_Int_Tables_number 123
_symmetry_space_group_name_Hall '-P 4 2'
_cell_length_a 3.645
_cell_length_b 3.645
_cell_length_c 6.799
_cell_angle_alpha 90.00
_cell_angle_beta 90.00
_cell_angle_gamma 90.00
loop_
_atom_site_label
_atom_site_type_symbol
_atom_site_fract_x
_atom_site_fract_y
_atom_site_fract_z
Rb1 Rb 0.000 0.000 0.000
Pu1 Pu 0.500 0.500 0.500
O1 O 0.000 0.500 0.324



(4)
# RbPuO, optimized geometry, DFT PBE-GGA
# ρ (g cm⁻³): 6.4
# Formation energy from raw total energies (eV/atom): -1.13
data_RbPuO
_symmetry_space_group_name_H-M 'C 1 2/m 1'
_symmetry_Int_Tables_number 12
_cell_length_a 7.019
_cell_length_b 6.678
_cell_length_c 8.365
_cell_angle_alpha 90.00
_cell_angle_beta 114.76
_cell_angle_gamma 90.00
loop_
_symmetry_equiv_pos_as_xyz
'x,y,z'
'-x,-y,-z'
'-x,y,-z'
'x,-y,z'
'x+1/2,y+1/2,z'
'-x+1/2,-y+1/2,-z'
'-x+1/2,y+1/2,-z'
'x+1/2,-y+1/2,z'
loop_
_atom_site_label
_atom_site_type_symbol
_atom_site_fract_x
_atom_site_fract_y
_atom_site_fract_z
Rb1 Rb 0.000 0.250 0.000
Pu1 Pu 0.000 0.248 0.500
O1 O 0.241 0.500 0.501



(5)
# RbPuO2, optimized geometry, DFT PBE-GGA
# ρ (g cm⁻³): 8.1
# Formation energy from raw total energies (eV/atom): -2.31
data_RbPuO2
_symmetry_space_group_name_H-M 'R 3 m'
_symmetry_Int_Tables_number 160
_symmetry_space_group_name_Hall 'R 3 -2"'
_cell_length_a 3.5874
_cell_length_b 3.5874
_cell_length_c 19.9840
_cell_angle_alpha 90.00
_cell_angle_beta 90.00
_cell_angle_gamma 120.00
loop_
_atom_site_label
_atom_site_type_symbol
_atom_site_fract_x
_atom_site_fract_y
_atom_site_fract_z
Rb1 Rb 0.0000 0.0000 0.0000
Pu1 Pu 0.0000 0.0000 0.1705
O1 O 0.0000 0.0000 0.5631
O2 O 0.0000 0.0000 0.7796



(6)
# RbPuO4, optimized geometry, DFT PBE-GGA
# ρ (g cm⁻³): 6.0
# Energy relative to the lowest polymorph listed for this composition (meV per atom): 0
# Formation energy from raw total energies (eV/atom): -2.28
data_RbPuO4
_symmetry_space_group_name_H-M 'C 1 2/c 1'
_symmetry_Int_Tables_number 15
_cell_length_a 13.343
_cell_length_b 5.720
_cell_length_c 6.012
_cell_angle_alpha 90.00
_cell_angle_beta 107.33
_cell_angle_gamma 90.00
loop_
_symmetry_equiv_pos_as_xyz
'x,y,z'
'-x,-y,-z'
'-x,y,-z+1/2'
'x,-y,z+1/2'
'x+1/2,y+1/2,z'
'-x+1/2,-y+1/2,-z'
'-x+1/2,y+1/2,-z+1/2'
'x+1/2,-y+1/2,z+1/2'
loop_
_atom_site_label
_atom_site_type_symbol
_atom_site_fract_x
_atom_site_fract_y
_atom_site_fract_z
Rb1 Rb 0.000 0.221 0.250
Pu1 Pu 0.250 0.250 0.000
O1 O 0.113 0.351 0.904
O2 O 0.208 0.012 0.194